Computed, not measured: a geometry-optimized Sn3OsF structure at the GGA-PBEsol level of DFT.

Computed properties:
Electronic total energy (eV/atom): -5.004
ΔE_f (raw) (eV/atom): 0.380
Volume (Å³/cell): 98.8

Unit cell a=4.623 b=4.623 c=4.623 alpha=90.00 beta=90.00 gamma=90.00
Fractional coordinates of all 5 atoms:
Sn  0.000  0.000  0.500
Sn  0.000  0.500  0.000
Sn  0.500  0.000  0.000
Os  0.500  0.500  0.500
F  0.000  0.000  0.000